Entry 1:
Material: In4Hg2Pd
Method: DFT, GGA-PBE
State: optimized geometry

Lattice parameters (Å, degrees): 8.5008 8.5008 8.5008 144.39 144.39 51.24
Fractional coordinates of all 7 atoms:
1 In 0.0000 0.5000 0.5000
2 In 0.1756 0.1756 0.0000
3 In 0.5000 0.0000 0.5000
4 In 0.8244 0.8244 0.0000
5 Hg 0.3666 0.3666 0.0000
6 Hg 0.6334 0.6334 0.0000
7 Pd 0.0000 0.0000 0.0000

Properties
Total magnetization in μB per formula unit: 0.00
Energy relative to the elements in eV per atom: -0.022

=====

Entry 2:
Material: InHg2Pd5
Method: DFT, GGA-PBE
State: optimized geometry

Lattice parameters (Å, degrees): 8.1634 8.1634 8.1634 149.71 149.71 43.37
Fractional coordinates of all 8 atoms:
1 In 0.0000 0.0000 0.0000
2 Hg 0.2523 0.2523 0.0000
3 Hg 0.7477 0.7477 0.0000
4 Pd 0.1215 0.6215 0.5000
5 Pd 0.3785 0.8785 0.5000
6 Pd 0.5000 0.5000 0.0000
7 Pd 0.6215 0.1215 0.5000
8 Pd 0.8785 0.3785 0.5000

Properties
Total magnetization in μB per formula unit: 0.00
Energy relative to the elements in eV per atom: -0.301

=====

Entry 3:
Material: In2Hg2Pd
Method: DFT, GGA-PBE
State: optimized geometry

Lattice parameters (Å, degrees): 8.9008 8.9008 8.9008 154.75 154.75 36.01
Fractional coordinates of all 5 atoms:
1 In 0.0856 0.0856 0.0000
2 In 0.9144 0.9144 0.0000
3 Hg 0.2500 0.7500 0.5000
4 Hg 0.7500 0.2500 0.5000
5 Pd 0.5000 0.5000 0.0000

Properties
Distance to the lowest polymorph of the same formula in meV/atom: 133
Total magnetization in μB per formula unit: 0.00
Energy relative to the elements in eV per atom: 0.133

=====

Entry 4:
Material: In2Hg2Pd5
Method: DFT, GGA-PBE
State: optimized geometry

Lattice parameters (Å, degrees): 8.8148 8.8148 8.8148 72.95 145.15 118.20
Fractional coordinates of all 18 atoms:
1 In 0.0447 0.1307 0.1754
2 In 0.0447 0.3693 0.4140
3 In 0.9553 0.6307 0.5860
4 In 0.9553 0.8693 0.8246
5 Hg 0.4456 0.7511 0.1945
6 Hg 0.4991 0.4991 0.0000
7 Hg 0.4991 0.9991 0.5000
8 Hg 0.5566 0.2511 0.8055
9 Pd 0.0001 0.0015 0.4985
10 Pd 0.0023 0.3983 0.8994
11 Pd 0.0023 0.6029 0.1040
12 Pd 0.4989 0.1029 0.1006
13 Pd 0.4989 0.8983 0.8960
14 Pd 0.5006 0.3000 0.3016
15 Pd 0.5006 0.6990 0.7006
16 Pd 0.5030 0.5015 0.5015
17 Pd 0.9984 0.1990 0.6984
18 Pd 0.9984 0.8000 0.2994

Properties
Total magnetization in μB per formula unit: 0.00
Energy relative to the elements in eV per atom: -0.216

=====

Entry 5:
Material: InHg3Pd4
Method: DFT, GGA-PBE
State: optimized geometry

Lattice parameters (Å, degrees): 3.3460 3.3460 12.8964 90.00 90.00 90.00
Fractional coordinates of all 8 atoms:
1 In 0.0000 0.0000 0.0000
2 Hg 0.0000 0.0000 0.2495
3 Hg 0.0000 0.0000 0.5000
4 Hg 0.0000 0.0000 0.7505
5 Pd 0.5000 0.5000 0.1182
6 Pd 0.5000 0.5000 0.3743
7 Pd 0.5000 0.5000 0.6257
8 Pd 0.5000 0.5000 0.8818

Properties
Total magnetization in μB per formula unit: 0.00
Energy relative to the elements in eV per atom: -0.249

=====

Entry 6:
Material: InHgPd4
Method: DFT, GGA-PBE
State: optimized geometry

Lattice parameters (Å, degrees): 5.0370 5.0370 4.8749 96.12 96.12 122.07
Fractional coordinates of all 6 atoms:
1 In 0.0000 0.0000 0.0000
2 Hg 0.5000 0.5000 0.5000
3 Pd 0.1654 0.8346 0.5000
4 Pd 0.3341 0.6659 0.0000
5 Pd 0.6659 0.3341 0.0000
6 Pd 0.8346 0.1654 0.5000

Properties
Distance to the lowest polymorph of the same formula in meV/atom: 2
Total magnetization in μB per formula unit: 0.00
Energy relative to the elements in eV per atom: -0.297

=====

Entry 7:
Material: InHg3Pd7
Method: DFT, GGA-PBE
State: optimized geometry

Lattice parameters (Å, degrees): 6.6562 6.6562 5.2728 107.35 107.35 91.47
Fractional coordinates of all 11 atoms:
1 In 0.0000 0.0000 0.0000
2 Hg 0.2853 0.7147 0.5000
3 Hg 0.5000 0.5000 0.0000
4 Hg 0.7147 0.2853 0.5000
5 Pd 0.0000 0.0000 0.5000
6 Pd 0.0809 0.5775 0.8282
7 Pd 0.2839 0.2839 0.4580
8 Pd 0.4225 0.9191 0.1718
9 Pd 0.5775 0.0809 0.8282
10 Pd 0.7161 0.7161 0.5420
11 Pd 0.9191 0.4225 0.1718

Properties
Total magnetization in μB per formula unit: 0.00
Energy relative to the elements in eV per atom: -0.054

=====

Entry 8:
Material: In3HgPd
Method: DFT, GGA-PBE
State: optimized geometry

Lattice parameters (Å, degrees): 9.3529 8.6131 5.6918 78.76 64.59 36.65
Fractional coordinates of all 10 atoms:
1 In 0.1635 0.6368 0.3632
2 In 0.2376 0.2376 0.7624
3 In 0.3632 0.8365 0.1635
4 In 0.6368 0.1635 0.8365
5 In 0.7624 0.7624 0.2376
6 In 0.8365 0.3632 0.6368
7 Hg 0.2423 0.7577 0.7577
8 Hg 0.7577 0.2423 0.2423
9 Pd 0.2500 0.2500 0.2500
10 Pd 0.7500 0.7500 0.7500

Properties
Distance to the lowest polymorph of the same formula in meV/atom: 0
Total magnetization in μB per formula unit: 0.00
Energy relative to the elements in eV per atom: -0.162

=====

Entry 9:
Material: InHg2Pd8
Method: DFT, GGA-PBE
State: optimized geometry

Lattice parameters (Å, degrees): 7.5047 7.5047 7.5047 149.12 114.52 74.15
Fractional coordinates of all 11 atoms:
1 In 0.0000 0.0000 0.0000
2 Hg 0.3490 0.3490 0.0000
3 Hg 0.6510 0.6510 0.0000
4 Pd 0.0785 0.8323 0.2462
5 Pd 0.1712 0.6712 0.5000
6 Pd 0.2391 0.5000 0.7391
7 Pd 0.4139 0.1677 0.2462
8 Pd 0.5861 0.8323 0.7538
9 Pd 0.7609 0.5000 0.2609
10 Pd 0.8288 0.3288 0.5000
11 Pd 0.9215 0.1677 0.7538

Properties
Distance to the lowest polymorph of the same formula in meV/atom: 0
Total magnetization in μB per formula unit: 0.00
Energy relative to the elements in eV per atom: -0.182

=====

Entry 10:
Material: InHg4Pd5
Method: DFT, GGA-PBE
State: optimized geometry

Lattice parameters (Å, degrees): 3.1068 3.1068 18.7098 90.00 90.00 90.00
Fractional coordinates of all 10 atoms:
1 In 0.0000 0.0000 0.0000
2 Hg 0.0000 0.0000 0.1982
3 Hg 0.0000 0.0000 0.3993
4 Hg 0.0000 0.0000 0.6007
5 Hg 0.0000 0.0000 0.8018
6 Pd 0.5000 0.5000 0.0940
7 Pd 0.5000 0.5000 0.2988
8 Pd 0.5000 0.5000 0.5000
9 Pd 0.5000 0.5000 0.7012
10 Pd 0.5000 0.5000 0.9060

Properties
Total magnetization in μB per formula unit: 0.00
Energy relative to the elements in eV per atom: -0.231

=====

Entry 11:
Material: InHg2Pd8
Method: DFT, GGA-PBE
State: optimized geometry

Lattice parameters (Å, degrees): 7.5070 7.5070 5.1546 109.18 109.18 118.34
Fractional coordinates of all 11 atoms:
1 In 0.0000 0.0000 0.0000
2 Hg 0.3056 0.6944 0.5000
3 Hg 0.6944 0.3056 0.5000
4 Pd 0.1026 0.3246 0.6151
5 Pd 0.2150 0.7850 0.0000
6 Pd 0.3246 0.1026 0.6151
7 Pd 0.4137 0.4137 0.1787
8 Pd 0.5863 0.5863 0.8213
9 Pd 0.6754 0.8974 0.3849
10 Pd 0.7850 0.2150 0.0000
11 Pd 0.8974 0.6754 0.3849

Properties
Distance to the lowest polymorph of the same formula in meV/atom: 105
Total magnetization in μB per formula unit: 0.00
Energy relative to the elements in eV per atom: -0.077

=====

Entry 12:
Material: In2Hg5Pd12
Method: DFT, GGA-PBE
State: optimized geometry

Lattice parameters (Å, degrees): 7.7319 7.7319 6.6171 90.42 90.42 59.68
Fractional coordinates of all 19 atoms:
1 In 0.2117 0.7883 0.0000
2 In 0.7883 0.2117 0.0000
3 Hg 0.2025 0.2025 0.9819
4 Hg 0.2593 0.2593 0.4236
5 Hg 0.5000 0.5000 0.5000
6 Hg 0.7407 0.7407 0.5764
7 Hg 0.7975 0.7975 0.0181
8 Pd 0.0525 0.0525 0.3154
9 Pd 0.0779 0.6836 0.3493
10 Pd 0.1518 0.5320 0.7520
11 Pd 0.3164 0.9221 0.6507
12 Pd 0.4028 0.4028 0.1110
13 Pd 0.4680 0.8482 0.2480
14 Pd 0.5320 0.1518 0.7520
15 Pd 0.5972 0.5972 0.8890
16 Pd 0.6836 0.0779 0.3493
17 Pd 0.8482 0.4680 0.2480
18 Pd 0.9221 0.3164 0.6507
19 Pd 0.9475 0.9475 0.6846

Properties
Total magnetization in μB per formula unit: 0.00
Energy relative to the elements in eV per atom: -0.170

=====

Entry 13:
Material: InHgPd2
Method: DFT, GGA-PBE
State: optimized geometry

Lattice parameters (Å, degrees): 3.2663 3.2663 6.7537 90.00 90.00 90.00
Fractional coordinates of all 4 atoms:
1 In 0.0000 0.0000 0.0000
2 Hg 0.0000 0.0000 0.5000
3 Pd 0.5000 0.5000 0.2359
4 Pd 0.5000 0.5000 0.7641

Properties
Total magnetization in μB per formula unit: 0.00
Energy relative to the elements in eV per atom: -0.342

=====

Entry 14:
Material: InHgPd2
Method: DFT, GGA-PBE
State: optimized geometry

Lattice parameters (Å, degrees): 4.6612 3.3122 9.3485 90.00 90.00 90.00
Fractional coordinates of all 8 atoms:
1 In 0.2500 0.0000 0.1281
2 In 0.7500 0.0000 0.8719
3 Hg 0.2500 0.0000 0.6229
4 Hg 0.7500 0.0000 0.3771
5 Pd 0.2500 0.5000 0.3660
6 Pd 0.2500 0.5000 0.8855
7 Pd 0.7500 0.5000 0.1145
8 Pd 0.7500 0.5000 0.6340

Properties
Total magnetization in μB per formula unit: 0.00
Energy relative to the elements in eV per atom: -0.332

=====

Entry 15:
Material: In2HgPd
Method: DFT, GGA-PBE
State: optimized geometry

Lattice parameters (Å, degrees): 11.2495 11.2495 11.2495 16.02 16.02 16.02
Fractional coordinates of all 4 atoms:
1 In 0.0801 0.0801 0.0801
2 In 0.9199 0.9199 0.9199
3 Hg 0.5000 0.5000 0.5000
4 Pd 0.0000 0.0000 0.0000

Properties
Total magnetization in μB per formula unit: 0.00
Energy relative to the elements in eV per atom: 0.103

=====

Entry 16:
Material: Pm3In3Hg2Pd
Method: DFT, GGA-PBE
State: optimized geometry

Lattice parameters (Å, degrees): 7.7379 7.7379 4.3643 90.00 90.00 120.00
Fractional coordinates of all 9 atoms:
1 Pm 0.0000 0.4016 0.0000
2 Pm 0.4016 0.0000 0.0000
3 Pm 0.5984 0.5984 0.0000
4 In 0.0000 0.7593 0.5000
5 In 0.2407 0.2407 0.5000
6 In 0.7593 0.0000 0.5000
7 Hg 0.3333 0.6667 0.5000
8 Hg 0.6667 0.3333 0.5000
9 Pd 0.0000 0.0000 0.0000

Properties
Total magnetization in μB per formula unit: 0.00
Energy relative to the elements in eV per atom: -0.597

=====

Entry 17:
Material: Pm2InHg2Pd5
Method: DFT, GGA-PBE
State: optimized geometry

Lattice parameters (Å, degrees): 10.3119 10.3119 3.9104 90.00 90.00 90.00
Fractional coordinates of all 20 atoms:
1 Pm 0.1678 0.3322 0.0000
2 Pm 0.3322 0.8322 0.0000
3 Pm 0.6678 0.1678 0.0000
4 Pm 0.8322 0.6678 0.0000
5 In 0.0000 0.0000 0.0000
6 In 0.5000 0.5000 0.0000
7 Hg 0.1310 0.6310 0.0000
8 Hg 0.3690 0.1310 0.0000
9 Hg 0.6310 0.8690 0.0000
10 Hg 0.8690 0.3690 0.0000
11 Pd 0.0000 0.5000 0.5000
12 Pd 0.0379 0.8011 0.5000
13 Pd 0.1989 0.0379 0.5000
14 Pd 0.3011 0.5379 0.5000
15 Pd 0.4621 0.3011 0.5000
16 Pd 0.5000 0.0000 0.5000
17 Pd 0.5379 0.6989 0.5000
18 Pd 0.6989 0.4621 0.5000
19 Pd 0.8011 0.9621 0.5000
20 Pd 0.9621 0.1989 0.5000

Properties
Total magnetization in μB per formula unit: 0.00
Energy relative to the elements in eV per atom: -0.503

=====

Entry 18:
Material: Pr4InHg2Pd
Method: DFT, GGA-PBE
State: optimized geometry

Lattice parameters (Å, degrees): 9.3031 9.3031 9.3031 33.87 33.87 33.87
Fractional coordinates of all 8 atoms:
1 Pr 0.1163 0.1163 0.1163
2 Pr 0.3688 0.3688 0.3688
3 Pr 0.6312 0.6312 0.6312
4 Pr 0.8837 0.8837 0.8837
5 In 0.5000 0.5000 0.5000
6 Hg 0.2417 0.2417 0.2417
7 Hg 0.7583 0.7583 0.7583
8 Pd 0.0000 0.0000 0.0000

Properties
Total magnetization in μB per formula unit: 0.00
Energy relative to the elements in eV per atom: -0.522

=====

Entry 19:
Material: PuInHgPd
Method: DFT, GGA-PBE
State: optimized geometry

Lattice parameters (Å, degrees): 5.0257 5.0257 5.0257 60.00 60.00 60.00
Fractional coordinates of all 4 atoms:
1 Pu 0.0000 0.0000 0.0000
2 In 0.5000 0.5000 0.5000
3 Hg 0.2500 0.2500 0.2500
4 Pd 0.7500 0.7500 0.7500

Properties
Total magnetization in μB per formula unit: 5.47
Energy relative to the elements in eV per atom: -0.261

=====

Entry 20:
Material: RbInHg2Pd
Method: DFT, GGA-PBE
State: optimized geometry

Lattice parameters (Å, degrees): 5.4625 5.4625 5.2138 90.00 90.00 90.00
Fractional coordinates of all 5 atoms:
1 Rb 0.0000 0.0000 0.0000
2 In 0.5000 0.5000 0.0000
3 Hg 0.0000 0.5000 0.5000
4 Hg 0.5000 0.0000 0.5000
5 Pd 0.5000 0.5000 0.5000

Properties
Total magnetization in μB per formula unit: 0.00
Energy relative to the elements in eV per atom: -0.222

=====

Entry 21:
Material: RbIn2HgPd
Method: DFT, GGA-PBE
State: optimized geometry

Lattice parameters (Å, degrees): 5.2134 5.2134 6.4530 90.00 90.00 90.00
Fractional coordinates of all 5 atoms:
1 Rb 0.0000 0.0000 0.0000
2 In 0.0000 0.5000 0.5000
3 In 0.5000 0.0000 0.5000
4 Hg 0.5000 0.5000 0.0000
5 Pd 0.0000 0.0000 0.5000

Properties
Distance to the lowest polymorph of the same formula in meV/atom: 75
Total magnetization in μB per formula unit: 0.00
Energy relative to the elements in eV per atom: -0.119

=====

Entry 22:
Material: Rb2InHgPd
Method: DFT, GGA-PBE
State: optimized geometry

Lattice parameters (Å, degrees): 6.4753 6.4753 5.2992 90.00 90.00 90.00
Fractional coordinates of all 5 atoms:
1 Rb 0.0000 0.5000 0.0000
2 Rb 0.5000 0.0000 0.0000
3 In 0.0000 0.0000 0.5000
4 Hg 0.5000 0.5000 0.5000
5 Pd 0.0000 0.0000 0.0000

Properties
Total magnetization in μB per formula unit: 0.00
Energy relative to the elements in eV per atom: -0.067

=====

Entry 23:
Material: Rb2InHg6Pd
Method: DFT, GGA-PBE
State: optimized geometry

Lattice parameters (Å, degrees): 7.8881 7.8881 7.8541 119.73 119.73 90.36
Fractional coordinates of all 10 atoms:
1 Rb 0.2480 0.7520 0.0000
2 Rb 0.7520 0.2480 0.0000
3 In 0.0000 0.0000 0.5000
4 Hg 0.2590 0.2590 0.0180
5 Hg 0.2594 0.7406 0.5000
6 Hg 0.2624 0.2624 0.5069
7 Hg 0.7376 0.7376 0.4931
8 Hg 0.7406 0.2594 0.5000
9 Hg 0.7410 0.7410 0.9820
10 Pd 0.5000 0.5000 0.5000

Properties
Total magnetization in μB per formula unit: 0.00
Energy relative to the elements in eV per atom: -0.178